Record 1
Pm2BRh6 | PBE-GGA | optimized geometry Values from VASP.

The structure in Quantum ESPRESSO input format:
```
&SYSTEM
  ibrav = 0, nat = 9, ntyp = 3
/
ATOMIC_SPECIES
Pm 145.00 Pm.upf
B 10.81 B.upf
Rh 102.91 Rh.upf
CELL_PARAMETERS angstrom
7.5292 0.0000 0.0000
-3.7646 6.5205 0.0000
0.0000 0.0000 3.0463
ATOMIC_POSITIONS angstrom
Pm 0.0000 4.3470 0.0000
Pm 3.7646 2.1735 0.0000
B 0.0000 0.0000 1.5231
Rh -0.8176 1.4162 0.0000
Rh -2.4263 4.2025 1.5231
Rh 1.6353 0.0000 0.0000
Rh 1.3383 2.3180 1.5231
Rh 4.8527 0.0000 1.5231
Rh 2.9470 5.1043 0.0000
```

Summary:
Energy relative to the lowest polymorph listed for this composition (meV/atom): 479.2
Space-group type: P-62m
E_form (eV per atom): -0.1469
N(E_F) (states/eV/f.u.): 8.95

=====

Record 2
Pm3B8Rh3 | PBE-GGA | optimized geometry Values from VASP.

The structure in Quantum ESPRESSO input format:
```
&SYSTEM
  ibrav = 0, nat = 14, ntyp = 3
/
ATOMIC_SPECIES
Pm 145.00 Pm.upf
B 10.81 B.upf
Rh 102.91 Rh.upf
CELL_PARAMETERS angstrom
-1.6759 4.8114 5.3850
1.6759 -4.8114 5.3850
1.6759 4.8114 -5.3850
ATOMIC_POSITIONS angstrom
Pm 0.0000 0.0000 0.0000
Pm 0.0000 0.0000 3.1432
Pm 0.0000 0.0000 7.6267
B 1.6759 1.9956 -2.1286
B 1.6759 -2.0751 3.8809
B 1.6759 1.9956 2.1286
B 0.0000 2.7363 1.5040
B 1.6759 2.0751 3.8809
B 0.0000 2.8157 3.2564
B 0.0000 6.8864 1.5040
B 0.0000 2.8157 7.5136
Rh 1.6759 2.5035 0.0000
Rh 0.0000 4.8114 0.0000
Rh 0.0000 2.3079 5.3850
```

Summary:
Space-group type: Immm
E_form (eV per atom): -0.2128
N(E_F) (states/eV/f.u.): 5.55

=====

Record 3
PmB2Rh5 | PBE-GGA | optimized geometry Values from VASP.

The structure in Quantum ESPRESSO input format:
```
&SYSTEM
  ibrav = 0, nat = 8, ntyp = 3
/
ATOMIC_SPECIES
Pm 145.00 Pm.upf
B 10.81 B.upf
Rh 102.91 Rh.upf
CELL_PARAMETERS angstrom
-1.9652 2.9538 4.8712
1.9652 -2.9538 4.8712
1.9652 2.9538 -4.8712
ATOMIC_POSITIONS angstrom
Pm 0.0000 0.0000 0.0000
B 1.9652 0.0000 2.7799
B 0.0000 2.9538 2.0914
Rh 1.9652 1.6474 -1.4841
Rh 1.9652 1.6474 1.4841
Rh 0.0000 2.9538 0.0000
Rh 0.0000 1.3064 3.3871
Rh 0.0000 1.3064 6.3553
```

Summary:
Space-group type: Immm
E_form (eV per atom): -0.4308
N(E_F) (states/eV/f.u.): 5.89

=====

Record 4
Pm5B2Rh5 | PBE-GGA | optimized geometry Values from VASP.

The structure in Quantum ESPRESSO input format:
```
&SYSTEM
  ibrav = 0, nat = 12, ntyp = 3
/
ATOMIC_SPECIES
Pm 145.00 Pm.upf
B 10.81 B.upf
Rh 102.91 Rh.upf
CELL_PARAMETERS angstrom
6.0449 -2.0270 0.0000
6.0449 2.0270 0.0000
-0.7408 0.0000 9.6602
ATOMIC_POSITIONS angstrom
Pm 0.0000 0.0000 0.0000
Pm 1.3869 0.0000 5.8608
Pm 2.8044 0.0000 8.5817
Pm 8.5447 0.0000 1.0785
Pm 9.9622 0.0000 3.7995
B 4.2880 0.0000 6.4469
B 7.0611 0.0000 3.2133
Rh 0.8406 0.0000 2.9857
Rh 5.1192 0.0000 1.8980
Rh 5.6745 0.0000 4.8301
Rh 6.2299 0.0000 7.7622
Rh 10.5084 0.0000 6.6745
```

Summary:
Space-group type: C2/m
E_form (eV per atom): -0.4655
N(E_F) (states/eV/f.u.): 7.98

=====

Record 5
Pm3B7Rh | PBE-GGA | optimized geometry Values from VASP.

The structure in Quantum ESPRESSO input format:
```
&SYSTEM
  ibrav = 0, nat = 22, ntyp = 3
/
ATOMIC_SPECIES
Pm 145.00 Pm.upf
B 10.81 B.upf
Rh 102.91 Rh.upf
CELL_PARAMETERS angstrom
1.7883 -8.0941 0.0000
1.7883 8.0941 0.0000
0.0000 0.0000 9.5867
ATOMIC_POSITIONS angstrom
Pm 1.7883 6.3921 5.3888
Pm 1.7883 6.3921 8.9913
Pm 1.7883 4.1109 2.3967
Pm 1.7883 -4.1109 7.1900
Pm 1.7883 -6.3921 0.5954
Pm 1.7883 -6.3921 4.1979
B 1.7883 3.6692 5.1073
B 1.7883 3.6692 9.2727
B 1.7883 2.1451 6.2515
B 1.7883 2.1451 8.1286
B 1.7883 0.5885 2.3967
B 1.7883 0.3789 5.7403
B 1.7883 0.3789 8.6398
B 1.7883 -0.3789 0.9469
B 1.7883 -0.3789 3.8465
B 1.7883 -0.5885 7.1900
B 1.7883 -2.1451 1.4581
B 1.7883 -2.1451 3.3352
B 1.7883 -3.6692 0.3140
B 1.7883 -3.6692 4.4794
Rh 1.7883 7.1808 2.3967
Rh 1.7883 -7.1808 7.1900
```

Summary:
Space-group type: Cmcm
E_form (eV per atom): -0.4559
N(E_F) (states/eV/f.u.): 2.59

=====

Record 6
PmB4Rh | PBE-GGA | optimized geometry Values from VASP.

The structure in Quantum ESPRESSO input format:
```
&SYSTEM
  ibrav = 0, nat = 24, ntyp = 3
/
ATOMIC_SPECIES
Pm 145.00 Pm.upf
B 10.81 B.upf
Rh 102.91 Rh.upf
CELL_PARAMETERS angstrom
6.0350 0.0000 0.0000
0.0000 11.6983 0.0000
0.0000 0.0000 3.6405
ATOMIC_POSITIONS angstrom
Pm 0.7833 1.7428 0.0000
Pm 2.2342 7.5919 0.0000
Pm 3.8008 4.1064 0.0000
Pm 5.2517 9.9555 0.0000
B 0.1390 8.0827 1.8202
B 0.6691 6.3857 1.8202
B 0.8368 11.3255 1.8202
B 1.2914 9.5219 1.8202
B 1.7261 3.6728 1.8202
B 2.1807 5.4764 1.8202
B 2.3485 0.5366 1.8202
B 2.8785 2.2335 1.8202
B 3.1566 9.4648 1.8202
B 3.6866 11.1618 1.8202
B 3.8543 6.2219 1.8202
B 4.3089 8.0256 1.8202
B 4.7436 2.1764 1.8202
B 5.1982 0.3728 1.8202
B 5.3660 5.3126 1.8202
B 5.8960 3.6156 1.8202
Rh 0.8463 4.7524 0.0000
Rh 2.1712 10.6015 0.0000
Rh 3.8638 1.0968 0.0000
Rh 5.1887 6.9460 0.0000
```

Summary:
Space-group type: Pbam
E_form (eV per atom): -0.5429
N(E_F) (states/eV/f.u.): 1.33

=====

Record 7
Pm2BRh4 | PBE-GGA | optimized geometry Values from VASP.

The structure in Quantum ESPRESSO input format:
```
&SYSTEM
  ibrav = 0, nat = 7, ntyp = 3
/
ATOMIC_SPECIES
Pm 145.00 Pm.upf
B 10.81 B.upf
Rh 102.91 Rh.upf
CELL_PARAMETERS angstrom
0.0000 3.9498 4.3773
3.9463 0.0000 4.3773
3.9463 3.9498 0.0000
ATOMIC_POSITIONS angstrom
Pm 1.9731 1.9749 2.1886
Pm 5.9194 5.9248 6.5659
B 0.0000 0.0000 0.0000
Rh 3.9463 2.0541 4.3773
Rh 5.8384 3.9498 4.3773
Rh 2.0542 3.9498 4.3773
Rh 3.9463 5.8456 4.3773
```

Summary:
Energy relative to the lowest polymorph listed for this composition (meV/atom): 86.5
Space-group type: Fmmm
E_form (eV per atom): -0.4938
N(E_F) (states/eV/f.u.): 3.23

=====

Record 8
Pm2B4Rh5 | PBE-GGA | optimized geometry Values from VASP.

The structure in Quantum ESPRESSO input format:
```
&SYSTEM
  ibrav = 0, nat = 11, ntyp = 3
/
ATOMIC_SPECIES
Pm 145.00 Pm.upf
B 10.81 B.upf
Rh 102.91 Rh.upf
CELL_PARAMETERS angstrom
0.0000 4.9607 5.6747
2.7516 0.0000 5.6747
2.7516 4.9607 0.0000
ATOMIC_POSITIONS angstrom
Pm 2.7516 4.9607 1.6327
Pm 2.7516 4.9607 9.7166
B 2.7516 3.3885 4.1811
B 2.7516 3.3885 7.1682
B 2.7516 6.5328 4.1811
B 2.7516 6.5328 7.1682
Rh 1.3758 2.4803 0.0000
Rh 1.3758 2.4803 2.8373
Rh 1.3758 2.4803 5.6747
Rh 2.7516 4.9607 5.6747
Rh 4.1275 7.4410 8.5120
```

Summary:
Space-group type: Fmmm
E_form (eV per atom): -0.6899
N(E_F) (states/eV/f.u.): 4.46

=====

Record 9
Pm2B2Rh5 | PBE-GGA | optimized geometry Values from VASP.

The structure in Quantum ESPRESSO input format:
```
&SYSTEM
  ibrav = 0, nat = 9, ntyp = 3
/
ATOMIC_SPECIES
Pm 145.00 Pm.upf
B 10.81 B.upf
Rh 102.91 Rh.upf
CELL_PARAMETERS angstrom
4.1898 0.0000 0.0000
0.0000 4.1898 0.0000
0.0000 0.0000 8.3845
ATOMIC_POSITIONS angstrom
Pm 0.0000 0.0000 0.0000
Pm 0.0000 0.0000 4.1923
B 2.0949 2.0949 1.9420
B 2.0949 2.0949 6.4425
Rh 0.0000 2.0949 2.0903
Rh 0.0000 2.0949 6.2943
Rh 2.0949 0.0000 2.0903
Rh 2.0949 0.0000 6.2943
Rh 2.0949 2.0949 4.1923
```

Summary:
Space-group type: P4/mmm
E_form (eV per atom): -0.6245
N(E_F) (states/eV/f.u.): 5.75

=====

Record 10
Pm3B2SbRh9 | PBE-GGA | optimized geometry Values from VASP.

The structure in Quantum ESPRESSO input format:
```
&SYSTEM
  ibrav = 0, nat = 15, ntyp = 4
/
ATOMIC_SPECIES
Pm 145.00 Pm.upf
B 10.81 B.upf
Sb 121.76 Sb.upf
Rh 102.91 Rh.upf
CELL_PARAMETERS angstrom
6.1268 0.0000 0.0000
-3.0634 5.3060 0.0000
0.0000 0.0000 8.0323
ATOMIC_POSITIONS angstrom
Pm 0.0000 0.0000 0.0000
Pm 0.0000 3.5373 5.3578
Pm 3.0634 1.7687 2.6745
B 0.0000 3.5373 1.0975
B 3.0634 1.7687 6.9348
Sb 0.0000 0.0000 4.0162
Rh -1.5317 2.6530 0.0000
Rh 0.0000 1.8890 2.3639
Rh -1.4274 4.3615 2.3639
Rh 1.6360 0.9445 5.6684
Rh 3.0634 0.0000 0.0000
Rh 1.5317 2.6530 0.0000
Rh 1.4275 4.3615 2.3639
Rh 4.4909 0.9445 5.6684
Rh 3.0634 3.4169 5.6684
```

Summary:
Space-group type: P-3m1
Formation energy from raw total energies (eV/atom): -0.59
N(E_F) (states/eV/f.u.): 8.72

=====

Record 11
Pm2BSbRh6 | PBE-GGA | optimized geometry Values from VASP.

The structure in Quantum ESPRESSO input format:
```
&SYSTEM
  ibrav = 0, nat = 10, ntyp = 4
/
ATOMIC_SPECIES
Pm 145.00 Pm.upf
B 10.81 B.upf
Sb 121.76 Sb.upf
Rh 102.91 Rh.upf
CELL_PARAMETERS angstrom
0.0000 4.5242 4.5242
4.5242 0.0000 4.5242
4.5242 4.5242 0.0000
ATOMIC_POSITIONS angstrom
Pm 2.2621 2.2621 2.2621
Pm 6.7863 6.7863 6.7863
B 0.0000 0.0000 0.0000
Sb 4.5242 4.5242 4.5242
Rh 4.5242 4.5242 2.0482
Rh 4.5242 2.0482 4.5242
Rh 7.0002 4.5242 4.5242
Rh 2.0482 4.5242 4.5242
Rh 4.5242 7.0002 4.5242
Rh 4.5242 4.5242 7.0002
```

Summary:
Space-group type: Fm-3m
Formation energy from raw total energies (eV/atom): -0.48
N(E_F) (states/eV/f.u.): 1.45

=====

Record 12
Pm3SiB2Rh9 | PBE-GGA | optimized geometry Values from VASP.

The structure in Quantum ESPRESSO input format:
```
&SYSTEM
  ibrav = 0, nat = 15, ntyp = 4
/
ATOMIC_SPECIES
Pm 145.00 Pm.upf
Si 28.09 Si.upf
B 10.81 B.upf
Rh 102.91 Rh.upf
CELL_PARAMETERS angstrom
6.1183 0.0000 0.0000
-3.0592 5.2986 0.0000
0.0000 0.0000 7.5081
ATOMIC_POSITIONS angstrom
Pm 0.0000 0.0000 0.0000
Pm 0.0000 3.5324 4.9974
Pm 3.0592 1.7662 2.5107
Si 0.0000 0.0000 3.7541
B 0.0000 3.5324 1.1279
B 3.0592 1.7662 6.3802
Rh -1.5296 2.6493 0.0000
Rh 0.0000 1.8602 2.4055
Rh -1.4482 4.3686 2.4055
Rh 1.6110 0.9301 5.1026
Rh 3.0592 0.0000 0.0000
Rh 1.5296 2.6493 0.0000
Rh 1.4482 4.3686 2.4055
Rh 4.5074 0.9301 5.1026
Rh 3.0592 3.4385 5.1026
```

Summary:
Space-group type: P-3m1
Formation energy from raw total energies (eV/atom): -0.73
N(E_F) (states/eV/f.u.): 12.54

=====

Record 13
PmSiBRh3 | PBE-GGA | optimized geometry Values from VASP.

The structure in Quantum ESPRESSO input format:
```
&SYSTEM
  ibrav = 0, nat = 12, ntyp = 4
/
ATOMIC_SPECIES
Pm 145.00 Pm.upf
Si 28.09 Si.upf
B 10.81 B.upf
Rh 102.91 Rh.upf
CELL_PARAMETERS angstrom
2.8683 -5.9880 0.0000
2.8683 5.9880 0.0000
0.0000 0.0000 5.7544
ATOMIC_POSITIONS angstrom
Pm 2.8683 3.0625 4.3158
Pm 2.8683 -3.0625 1.4386
Si 2.8683 4.6295 1.4386
Si 2.8683 -4.6295 4.3158
B 2.8683 0.2532 1.4386
B 2.8683 -0.2532 4.3158
Rh 1.4211 0.0000 0.0000
Rh 1.4211 0.0000 2.8772
Rh 2.8683 2.3268 1.4386
Rh 2.8683 -2.3268 4.3158
Rh 4.3154 0.0000 0.0000
Rh 4.3154 0.0000 2.8772
```

Summary:
Space-group type: Cmcm
Formation energy from raw total energies (eV/atom): -0.75
N(E_F) (states/eV/f.u.): 2.12

=====

Record 14
PmSnBRh2 | PBE-GGA | optimized geometry Values from VASP.

The structure in Quantum ESPRESSO input format:
```
&SYSTEM
  ibrav = 0, nat = 5, ntyp = 4
/
ATOMIC_SPECIES
Pm 145.00 Pm.upf
Sn 118.71 Sn.upf
B 10.81 B.upf
Rh 102.91 Rh.upf
CELL_PARAMETERS angstrom
4.1508 0.0000 0.0000
0.0000 4.1508 0.0000
0.0000 0.0000 5.6473
ATOMIC_POSITIONS angstrom
Pm 0.0000 0.0000 0.0000
Sn 2.0754 2.0754 1.4607
B 0.0000 0.0000 3.0164
Rh 0.0000 2.0754 3.1584
Rh 2.0754 0.0000 3.1584
```

Summary:
Space-group type: P4mm
E_form (eV per atom): -0.4419
N(E_F) (states/eV/f.u.): 3.53

=====

Record 15
Pm4SnB3Rh12 | PBE-GGA | optimized geometry Values from VASP.

The structure in Quantum ESPRESSO input format:
```
&SYSTEM
  ibrav = 0, nat = 20, ntyp = 4
/
ATOMIC_SPECIES
Pm 145.00 Pm.upf
Sn 118.71 Sn.upf
B 10.81 B.upf
Rh 102.91 Rh.upf
CELL_PARAMETERS angstrom
-4.3962 4.3962 4.3962
4.3962 -4.3962 4.3962
4.3962 4.3962 -4.3962
ATOMIC_POSITIONS angstrom
Pm 2.1981 2.1981 -2.1981
Pm 2.1981 -2.1981 2.1981
Pm -2.1981 2.1981 2.1981
Pm 2.1981 2.1981 2.1981
Sn 0.0000 0.0000 0.0000
B 4.3962 0.0000 0.0000
B 0.0000 4.3962 0.0000
B 0.0000 0.0000 4.3962
Rh 2.4586 0.0000 0.0000
Rh 6.3338 0.0000 0.0000
Rh 4.3962 2.1981 0.0000
Rh 4.3962 0.0000 2.1981
Rh 0.0000 2.4586 0.0000
Rh 0.0000 0.0000 2.4586
Rh 2.1981 4.3962 0.0000
Rh 2.1981 0.0000 4.3962
Rh 0.0000 6.3338 0.0000
Rh 0.0000 0.0000 6.3338
Rh 0.0000 4.3962 2.1981
Rh 0.0000 2.1981 4.3962
```

Summary:
Space-group type: Im-3m
E_form (eV per atom): -0.5512
N(E_F) (states/eV/f.u.): 17.23

=====

Record 16
Pm3SnB2Rh9 | PBE-GGA | optimized geometry Values from VASP.

The structure in Quantum ESPRESSO input format:
```
&SYSTEM
  ibrav = 0, nat = 15, ntyp = 4
/
ATOMIC_SPECIES
Pm 145.00 Pm.upf
Sn 118.71 Sn.upf
B 10.81 B.upf
Rh 102.91 Rh.upf
CELL_PARAMETERS angstrom
6.0442 0.0000 0.0000
-3.0221 5.2344 0.0000
0.0000 0.0000 8.2991
ATOMIC_POSITIONS angstrom
Pm 0.0000 0.0000 0.0000
Pm 0.0000 3.4896 5.5031
Pm 3.0221 1.7448 2.7960
Sn 0.0000 0.0000 4.1496
B 0.0000 3.4896 1.1502
B 3.0221 1.7448 7.1489
Rh -1.5110 2.6172 0.0000
Rh 0.0000 1.8269 2.3628
Rh -1.4400 4.3210 2.3628
Rh 1.5821 0.9134 5.9364
Rh 3.0221 0.0000 0.0000
Rh 1.5110 2.6172 0.0000
Rh 1.4400 4.3210 2.3628
Rh 4.4620 0.9134 5.9364
Rh 3.0221 3.4075 5.9364
```

Summary:
Space-group type: P-3m1
E_form (eV per atom): -0.5605
N(E_F) (states/eV/f.u.): 12.66

=====

Record 17
Pm2TlB2Rh5 | PBE-GGA | optimized geometry Values from VASP.

The structure in Quantum ESPRESSO input format:
```
&SYSTEM
  ibrav = 0, nat = 20, ntyp = 4
/
ATOMIC_SPECIES
Pm 145.00 Pm.upf
Tl 204.38 Tl.upf
B 10.81 B.upf
Rh 102.91 Rh.upf
CELL_PARAMETERS angstrom
9.8119 0.0000 0.0000
0.0000 9.8119 0.0000
0.0000 0.0000 3.2884
ATOMIC_POSITIONS angstrom
Pm 1.7338 3.1722 0.0000
Pm 3.1722 8.0781 0.0000
Pm 6.6397 1.7338 0.0000
Pm 8.0781 6.6397 0.0000
Tl 0.0000 0.0000 0.0000
Tl 4.9059 4.9059 0.0000
B 1.1766 6.0825 0.0000
B 3.7294 1.1766 0.0000
B 6.0825 8.6353 0.0000
B 8.6353 3.7294 0.0000
Rh 0.0000 4.9059 1.6442
Rh 0.6894 7.5466 1.6442
Rh 2.2653 0.6894 1.6442
Rh 2.6407 5.5953 1.6442
Rh 4.2165 2.6407 1.6442
Rh 4.9059 0.0000 1.6442
Rh 5.5953 7.1712 1.6442
Rh 7.1712 4.2165 1.6442
Rh 7.5466 9.1225 1.6442
Rh 9.1225 2.2653 1.6442
```

Summary:
Space-group type: P4/mbm
E_form (eV per atom): -0.6136
N(E_F) (states/eV/f.u.): 3.88

=====

Record 18
Pm3TlB2Rh9 | PBE-GGA | optimized geometry Values from VASP.

The structure in Quantum ESPRESSO input format:
```
&SYSTEM
  ibrav = 0, nat = 15, ntyp = 4
/
ATOMIC_SPECIES
Pm 145.00 Pm.upf
Tl 204.38 Tl.upf
B 10.81 B.upf
Rh 102.91 Rh.upf
CELL_PARAMETERS angstrom
5.8810 0.0000 0.0000
-2.9405 5.0931 0.0000
0.0000 0.0000 9.0708
ATOMIC_POSITIONS angstrom
Pm 0.0000 0.0000 0.0000
Pm 0.0000 3.3954 6.2103
Pm 2.9405 1.6977 2.8605
Tl 0.0000 0.0000 4.5354
B 0.0000 3.3954 1.2903
B 2.9405 1.6977 7.7805
Rh -1.4702 2.5465 0.0000
Rh 0.0000 1.6645 2.3818
Rh -1.4990 4.2608 2.3818
Rh 1.4415 0.8323 6.6890
Rh 2.9405 0.0000 0.0000
Rh 1.4702 2.5465 0.0000
Rh 1.4990 4.2608 2.3818
Rh 4.4395 0.8323 6.6890
Rh 2.9405 3.4286 6.6890
```

Summary:
Space-group type: P-3m1
E_form (eV per atom): -0.4585
N(E_F) (states/eV/f.u.): 16.51

=====

Record 19
Pm2UBRh6 | PBE-GGA | optimized geometry Values from VASP.

The structure in Quantum ESPRESSO input format:
```
&SYSTEM
  ibrav = 0, nat = 10, ntyp = 4
/
ATOMIC_SPECIES
Pm 145.00 Pm.upf
U 238.03 U.upf
B 10.81 B.upf
Rh 102.91 Rh.upf
CELL_PARAMETERS angstrom
2.9658 1.7123 6.0568
-2.9658 1.7123 6.0568
0.0000 -3.4246 6.0568
ATOMIC_POSITIONS angstrom
Pm 0.0000 0.0000 4.1672
Pm 0.0000 0.0000 14.0032
U 0.0000 0.0000 9.0852
B 0.0000 0.0000 0.0000
Rh 0.0000 -1.6447 7.1857
Rh -1.4244 0.8224 7.1857
Rh -1.4244 -0.8224 10.9847
Rh 1.4244 0.8224 7.1857
Rh 1.4244 -0.8224 10.9847
Rh 0.0000 1.6447 10.9847
```

Summary:
Space-group type: R-3m
E_form (eV per atom): -0.6166
N(E_F) (states/eV/f.u.): 4.39